Entry 1:
PBE-GGA PrNdZnSn, optimized geometry; energy of formation from the pure elements = -0.517 eV per atom; mass density = 7.096 g cm⁻³; space-group type = F-43m; calculated volume = 109.81 Å³ per cell; DOS(E_F) = 2.8 states/eV/cell
1.0
0.0000 3.8008 3.8008
3.8008 0.0000 3.8008
3.8008 3.8008 0.0000
Pr Nd Zn Sn
1 1 1 1
direct
0.0000 0.0000 0.0000
0.5000 0.5000 0.5000
0.7500 0.7500 0.7500
0.2500 0.2500 0.2500

Entry 2:
PBE-GGA PrNd2Zn2Sn2, optimized geometry; energy of formation from the pure elements = -0.393 eV per atom; mass density = 7.100 g cm⁻³; space-group type = R-3m; calculated volume = 186.55 Å³ per cell; DOS(E_F) = 6.9 states/eV/cell
1.0
2.3373 1.3494 9.8577
-2.3373 1.3494 9.8577
0.0000 -2.6989 9.8577
Pr Nd Zn Sn
1 2 2 2
direct
0.0000 0.0000 0.0000
0.1316 0.1316 0.1316
0.8684 0.8684 0.8684
0.4166 0.4166 0.4166
0.5834 0.5834 0.5834
0.2670 0.2670 0.2670
0.7330 0.7330 0.7330

Entry 3:
PBE-GGA Pr2NdZn2Sn2, optimized geometry; energy of formation from the pure elements = -0.392 eV per atom; mass density = 7.033 g cm⁻³; space-group type = R-3m; calculated volume = 187.54 Å³ per cell; DOS(E_F) = 7.0 states/eV/cell
1.0
2.3342 1.3477 9.9363
-2.3342 1.3477 9.9363
0.0000 -2.6953 9.9363
Pr Nd Zn Sn
2 1 2 2
direct
0.1309 0.1309 0.1309
0.8691 0.8691 0.8691
0.0000 0.0000 0.0000
0.4147 0.4147 0.4147
0.5853 0.5853 0.5853
0.2686 0.2686 0.2686
0.7314 0.7314 0.7314

Entry 4:
PBE-GGA SrPr7Nd4, optimized geometry; energy of formation from the pure elements = 0.044 eV per atom; mass density = 6.170 g cm⁻³; space-group type = P-1; calculated volume = 444.33 Å³ per cell; DOS(E_F) = 16.3 states/eV/cell
1.0
6.5115 0.0000 0.0000
0.0028 7.5412 0.0000
2.1520 0.0050 9.0488
Sr Pr Nd
1 7 4
direct
0.0000 0.0000 0.0000
0.0000 0.5000 0.0000
0.2302 0.9997 0.3431
0.2832 0.7419 0.6633
0.5000 0.2588 0.9999
0.5000 0.7412 0.0001
0.7168 0.2581 0.3367
0.7698 0.0003 0.6569
0.2185 0.4999 0.3293
0.2831 0.2582 0.6635
0.7169 0.7418 0.3365
0.7815 0.5001 0.6707

Entry 5:
PBE-GGA SrPrNd, optimized geometry; energy of formation from the pure elements = 0.074 eV per atom; mass density = 5.092 g cm⁻³; space-group type = I4mm; calculated volume = 121.56 Å³ per cell; DOS(E_F) = 3.6 states/eV/cell
1.0
-1.9147 1.9147 8.2897
1.9147 -1.9147 8.2897
1.9147 1.9147 -8.2897
Sr Pr Nd
1 1 1
direct
0.0000 0.0000 0.0000
0.3208 0.3208 0.0000
0.6782 0.6782 0.0000

Entry 6:
PBE-GGA SrPr15Nd4, optimized geometry; energy of formation from the pure elements = 0.033 eV per atom; mass density = 6.285 g cm⁻³; space-group type = P4/mmm; calculated volume = 734.06 Å³ per cell; DOS(E_F) = 30.4 states/eV/cell
1.0
5.2816 0.0000 0.0000
0.0000 5.2816 0.0000
0.0000 0.0000 26.3150
Sr Pr Nd
1 15 4
direct
0.0000 0.0000 0.0000
0.0000 0.5000 0.1057
0.0000 0.5000 0.3023
0.0000 0.5000 0.5000
0.0000 0.5000 0.6977
0.0000 0.5000 0.8943
0.5000 0.0000 0.1057
0.5000 0.0000 0.3023
0.5000 0.0000 0.5000
0.5000 0.0000 0.6977
0.5000 0.0000 0.8943
0.5000 0.5000 0.0000
0.5000 0.5000 0.2026
0.5000 0.5000 0.4007
0.5000 0.5000 0.5993
0.5000 0.5000 0.7974
0.0000 0.0000 0.2025
0.0000 0.0000 0.4011
0.0000 0.0000 0.5989
0.0000 0.0000 0.7975

Entry 7:
PBE-GGA SrPr6Nd5, optimized geometry; energy of formation from the pure elements = 0.046 eV per atom; mass density = 6.205 g cm⁻³; space-group type = C2/m; calculated volume = 442.68 Å³ per cell; DOS(E_F) = 19.1 states/eV/cell
1.0
6.1855 -5.6194 0.0000
6.1855 5.6194 0.0000
-1.1375 0.0000 6.3679
Sr Pr Nd
1 6 5
direct
0.0000 0.0000 0.0000
0.0840 0.4267 0.2530
0.2531 0.2531 0.7390
0.4267 0.0840 0.2530
0.5733 0.9160 0.7470
0.7469 0.7469 0.2610
0.9160 0.5733 0.7470
0.1736 0.8264 0.5000
0.3397 0.6603 0.0000
0.5000 0.5000 0.5000
0.6603 0.3397 0.0000
0.8264 0.1736 0.5000

Entry 8:
PBE-GGA SrPrNd, optimized geometry; energy of formation from the pure elements = 0.093 eV per atom; mass density = 5.087 g cm⁻³; space-group type = P3m1; calculated volume = 121.69 Å³ per cell; DOS(E_F) = 3.8 states/eV/cell
1.0
3.8373 0.0000 0.0000
-1.9186 3.3232 0.0000
0.0000 0.0000 9.5431
Sr Pr Nd
1 1 1
direct
0.0000 0.0000 0.0000
0.6667 0.3333 0.3526
0.3333 0.6667 0.6501

Entry 9:
PBE-GGA SrPr4Nd2, optimized geometry; energy of formation from the pure elements = 0.049 eV per atom; mass density = 5.898 g cm⁻³; space-group type = R-3m; calculated volume = 264.58 Å³ per cell; DOS(E_F) = 10.6 states/eV/cell
1.0
1.8777 1.0841 21.6621
-1.8777 1.0841 21.6621
0.0000 -2.1682 21.6621
Sr Pr Nd
1 4 2
direct
0.0000 0.0000 0.0000
0.1435 0.1435 0.1435
0.2814 0.2814 0.2814
0.7186 0.7186 0.7186
0.8565 0.8565 0.8565
0.4304 0.4304 0.4304
0.5696 0.5696 0.5696

Entry 10:
PBE-GGA SrPr6Nd8, optimized geometry; energy of formation from the pure elements = 0.167 eV per atom; mass density = 6.352 g cm⁻³; space-group type = R-3; calculated volume = 545.62 Å³ per cell; DOS(E_F) = 20.3 states/eV/cell
1.0
5.0196 2.8980 6.2513
-5.0196 2.8980 6.2513
0.0000 -5.7961 6.2513
Sr Pr Nd
1 6 8
direct
0.0000 0.0000 0.0000
0.1697 0.4279 0.6197
0.3803 0.8303 0.5721
0.4279 0.6197 0.1697
0.5721 0.3803 0.8303
0.6197 0.1697 0.4279
0.8303 0.5721 0.3803
0.0556 0.8578 0.3872
0.1422 0.6128 0.9444
0.2312 0.2312 0.2312
0.3872 0.0556 0.8578
0.6128 0.9444 0.1422
0.7688 0.7688 0.7688
0.8578 0.3872 0.0556
0.9444 0.1422 0.6128

Entry 11:
PBE-GGA SrPrNd, optimized geometry; energy of formation from the pure elements = 0.189 eV per atom; mass density = 4.998 g cm⁻³; space-group type = Pmma; calculated volume = 247.71 Å³ per cell; DOS(E_F) = 10.1 states/eV/cell
1.0
7.0161 0.0000 0.0000
0.0000 3.6828 0.0000
0.0000 0.0000 9.5870
Sr Pr Nd
2 2 2
direct
0.2500 0.0000 0.1381
0.7500 0.0000 0.8619
0.2500 0.5000 0.7711
0.7500 0.5000 0.2289
0.0000 0.0000 0.5000
0.5000 0.0000 0.5000

Entry 12:
PBE-GGA SrPr8Nd6, optimized geometry; energy of formation from the pure elements = 0.169 eV per atom; mass density = 6.308 g cm⁻³; space-group type = R-3; calculated volume = 547.61 Å³ per cell; DOS(E_F) = 20.7 states/eV/cell
1.0
5.0303 2.9042 6.2473
-5.0303 2.9042 6.2473
0.0000 -5.8085 6.2473
Sr Pr Nd
1 8 6
direct
0.0000 0.0000 0.0000
0.0557 0.8568 0.3874
0.1432 0.6126 0.9443
0.2329 0.2329 0.2329
0.3874 0.0557 0.8568
0.6126 0.9443 0.1432
0.7671 0.7671 0.7671
0.8568 0.3874 0.0557
0.9443 0.1432 0.6126
0.1704 0.4287 0.6192
0.3808 0.8296 0.5713
0.4287 0.6192 0.1704
0.5713 0.3808 0.8296
0.6192 0.1704 0.4287
0.8296 0.5713 0.3808